Material: TaAlW2O8
Method: DFT, PBE with a Hubbard U
State: optimized geometry

Output
For the total energy, the calculation gives -96.58 eV/cell. The calculation puts the energy above the most stable polymorph in this dataset at 168 meV per atom.

a b c (Å): 5.228 5.396 5.958
angles (deg): 71.61 87.02 76.18
Space group P1 (No. 1)
Symmetry-distinct sites (fractional):
Ta  0.000  0.000  0.000 (multiplicity 1)
Al  0.315  0.129  0.459 (multiplicity 1)
W  0.281  0.519  0.816 (multiplicity 1)
W  0.726  0.519  0.166 (multiplicity 1)
O  0.127  0.250  0.168 (multiplicity 1)
O  0.137  0.243  0.690 (multiplicity 1)
O  0.346  0.783  0.531 (multiplicity 1)
O  0.353  0.761  0.031 (multiplicity 1)
O  0.585  0.272  0.424 (multiplicity 1)
O  0.659  0.307  0.940 (multiplicity 1)
O  0.851  0.794  0.269 (multiplicity 1)
O  0.906  0.749  0.852 (multiplicity 1)